(1)
Below is a geometry-optimized Pm2TmAg3Te6 structure, with properties calculated at the PBE-GGA level.

The structure belongs to space group C2/m (No. 12); the cell edges are 19.7872, 4.4370 and 8.5395 Å and the angles 90.00°, 103.04° and 90.00°. The distinct sites, in fractional coordinates, are Pm at (0.1716, 0.0000, 0.3071), Tm at (0.0000, 0.5000, 0.0000), Ag at (0.0000, 0.5000, 0.5000), Ag at (0.2060, 0.0000, 0.7724), Te at (0.0086, 0.0000, 0.2531), Te at (0.1585, 0.5000, 0.0380) and Te at (0.1606, 0.5000, 0.5711).

The value obtained for the final energy is -4.296 eV/atom. For the density, the calculation gives 7.04 g/cm³. The raw formation energy comes out at -0.85 eV/atom.

---

(2)
Below is a geometry-optimized Pm2TmAgTe5 structure, with properties calculated at the PBE-GGA level.

The structure belongs to space group Cmc2_1 (No. 36); the cell edges are 4.3642, 18.8176 and 13.2657 Å and the angles 90.00°, 90.00° and 90.00°. The distinct sites, in fractional coordinates, are Pm at (0.0000, 0.1111, 0.0000), Pm at (0.0000, 0.1258, 0.6172), Tm at (0.0000, 0.1918, 0.3222), Ag at (0.0000, 0.4308, 0.7737), Te at (0.0000, 0.0428, 0.3912), Te at (0.0000, 0.2857, 0.9798), Te at (0.0000, 0.3049, 0.6545), Te at (0.0000, 0.3555, 0.3121) and Te at (0.0000, 0.4986, 0.0928).

The value obtained for the final energy is -4.774 eV/atom. For the density, the calculation gives 7.35 g/cm³. The raw formation energy comes out at -1.16 eV/atom.